(1)
This record from the Open Quantum Materials Database describes a geometry-optimized NdEr2Zn3CdIn2 structure. The functional is PBE-GGA.

abc: 4.589 7.246 7.246
angles: 121.03 90.00 90.00
Positions (direct):
Zn 0.500 0.765 0.765
Zn 0.500 0.001 0.233
Zn 0.500 0.233 0.001
Er 0.000 0.004 0.574
Er 0.000 0.574 0.004
Nd 0.000 0.428 0.428
In 0.500 0.674 0.333
In 0.500 0.333 0.674
Cd 0.000 0.989 0.989

Properties
**DFT total energy**: -27.3 eV per cell
**Volume**: 206.5 Å³ per cell
**Total magnetic moment**: 0.01 μB/f.u.

***

(2)
This record from the Open Quantum Materials Database describes a geometry-optimized Pr2ErZn3CdIn2 structure. The functional is PBE-GGA.

abc: 4.658 7.276 7.276
angles: 118.88 90.00 90.00
Positions (direct):
Zn 0.500 0.231 0.231
Zn 0.500 0.766 0.001
Zn 0.500 0.001 0.766
Cd 0.000 0.986 0.986
In 0.500 0.666 0.342
In 0.500 0.342 0.666
Er 0.000 0.576 0.576
Pr 0.000 0.426 0.005
Pr 0.000 0.005 0.426

Properties
**DFT total energy**: -27.5 eV per cell
**Volume**: 215.9 Å³ per cell
**Total magnetic moment**: 0.01 μB/f.u.

***

(3)
This record from the Open Quantum Materials Database describes a geometry-optimized ErCdInTe3 structure. The functional is PBE-GGA.

abc: 9.826 9.826 9.671
angles: 102.82 102.82 25.65
Positions (direct):
Te 0.500 0.500 0.000
Te 0.682 0.682 0.813
Te 0.000 0.000 0.500
Te 0.336 0.336 0.639
Te 0.318 0.318 0.187
Te 0.664 0.664 0.361
Cd 0.528 0.528 0.720
Cd 0.472 0.472 0.280
Er 0.824 0.824 0.413
Er 0.176 0.176 0.587
In 0.135 0.135 0.075
In 0.865 0.865 0.925

Properties
**Distance to the lowest polymorph of the same formula**: 56 meV per atom
**DFT total energy**: -43.5 eV per cell
**Volume**: 393.7 Å³ per cell
**Total magnetic moment**: 0.01 μB/f.u.

***

(4)
This record from the Open Quantum Materials Database describes a geometry-optimized ErCdInTe3 structure. The functional is PBE-GGA.

abc: 8.674 4.661 18.558
angles: 90.00 90.00 90.00
Positions (direct):
Te 0.994 0.250 0.424
Te 0.766 0.250 0.795
Te 0.234 0.750 0.205
Te 0.734 0.750 0.295
Te 0.006 0.750 0.576
Te 0.625 0.250 0.559
Te 0.125 0.250 0.941
Te 0.494 0.250 0.076
Te 0.875 0.750 0.059
Te 0.266 0.250 0.705
Te 0.506 0.750 0.924
Te 0.375 0.750 0.441
Cd 0.086 0.750 0.341
Cd 0.586 0.750 0.159
Cd 0.414 0.250 0.841
Cd 0.914 0.250 0.659
In 0.946 0.250 0.199
In 0.054 0.750 0.801
In 0.446 0.250 0.301
In 0.554 0.750 0.699
Er 0.734 0.750 0.461
Er 0.266 0.250 0.539
Er 0.766 0.250 0.961
Er 0.234 0.750 0.039

Properties
**Distance to the lowest polymorph of the same formula**: 85 meV per atom
**DFT total energy**: -86.3 eV per cell
**Volume**: 750.2 Å³ per cell
**Total magnetic moment**: 0.00 μB/f.u.

***

(5)
This record from the Open Quantum Materials Database describes a geometry-optimized ErCdInTe3 structure. The functional is PBE-GGA.

abc: 7.951 7.951 11.544
angles: 90.00 90.00 32.21
Positions (direct):
Er 0.000 0.000 0.000
Er 0.000 0.000 0.500
Te 0.083 0.083 0.250
Te 0.639 0.639 0.953
Te 0.361 0.361 0.047
Te 0.361 0.361 0.453
Te 0.639 0.639 0.547
Te 0.917 0.917 0.750
Cd 0.537 0.537 0.750
Cd 0.463 0.463 0.250
In 0.759 0.759 0.250
In 0.241 0.241 0.750

Properties
**Distance to the lowest polymorph of the same formula**: 0 meV per atom
**DFT total energy**: -44.2 eV per cell
**Volume**: 389.0 Å³ per cell
**Total magnetic moment**: 0.00 μB/f.u.

***

(6)
This record from the Open Quantum Materials Database describes a geometry-optimized ErCdInTe3 structure. The functional is PBE-GGA.

abc: 4.502 13.108 13.304
angles: 90.00 90.00 90.00
Positions (direct):
In 0.750 0.665 0.504
In 0.250 0.335 0.496
In 0.250 0.835 0.004
In 0.750 0.165 0.996
Te 0.750 0.263 0.670
Te 0.250 0.737 0.330
Te 0.750 0.087 0.434
Te 0.750 0.587 0.066
Te 0.750 0.971 0.158
Te 0.250 0.529 0.658
Te 0.250 0.029 0.842
Te 0.250 0.913 0.566
Te 0.250 0.237 0.170
Te 0.750 0.471 0.342
Te 0.750 0.763 0.830
Te 0.250 0.413 0.934
Cd 0.750 0.756 0.197
Cd 0.750 0.256 0.303
Cd 0.250 0.244 0.803
Cd 0.250 0.744 0.697
Er 0.250 0.469 0.176
Er 0.750 0.531 0.824
Er 0.750 0.031 0.676
Er 0.250 0.969 0.324

Properties
**Distance to the lowest polymorph of the same formula**: 56 meV per atom
**DFT total energy**: -87.0 eV per cell
**Volume**: 785.1 Å³ per cell
**Total magnetic moment**: 0.00 μB/f.u.